1.
This record from the Alexandria database describes Sr2Ag2H after structural relaxation. The functional is PBE.

Geometry as POSCAR:
```
Sr2Ag2H
1.0
8.414 0.000 0.000
0.000 8.414 0.000
0.000 0.000 4.119
Sr Ag H
4 4 2
Cartesian
1.519 2.688 0.000
2.688 6.895 0.000
5.726 1.519 0.000
6.895 5.726 0.000
0.985 5.192 2.059
3.222 0.985 2.059
5.192 7.429 2.059
7.429 3.222 2.059
0.000 0.000 2.059
4.207 4.207 2.059
```

Output
Space-group type = No. 127
Total magnetic moment = 0.000 Bohr magnetons per cell
Electronic total energy = -2.44 eV/atom

=====

2.
This record from the Alexandria database describes TlGaSb after structural relaxation. The functional is PBE.

Geometry as POSCAR:
```
TlGaSb
1.0
4.317 0.000 0.000
-2.158 3.738 0.000
0.000 0.000 5.481
Tl Ga Sb
1 1 1
Cartesian
0.000 0.000 0.000
0.000 2.492 3.440
2.158 1.246 2.350
```

Output
Formation energy (no corrections) = 0.0 eV per formula unit
Space-group type = No. 156
Total magnetic moment = 0.000 Bohr magnetons per cell
Electronic total energy = -3.18 eV/atom

=====

3.
This record from the Alexandria database describes UBeIr2 after structural relaxation. The functional is PBE.

Geometry as POSCAR:
```
UBeIr2
1.0
1.948 1.125 4.974
-1.948 1.125 4.974
0.000 -2.249 4.974
U Be Ir
1 1 2
Cartesian
0.000 0.000 0.000
0.000 0.000 7.461
0.000 0.000 3.321
0.000 0.000 11.601
```

Output
Space-group type = No. 166
Formation enthalpy at 0 K = -0.4647 eV/atom
Total magnetic moment = 0.871 Bohr magnetons per cell
Electronic total energy = -8.65 eV/atom

=====

4.
This record from the Alexandria database describes SmTcGe2 after structural relaxation. The functional is PBE.

Geometry as POSCAR:
```
SmTcGe2
1.0
-2.276 2.276 4.346
2.276 -2.276 4.346
2.276 2.276 -4.346
Sm Tc Ge
1 1 2
Cartesian
0.000 0.000 0.000
2.276 0.000 2.173
0.000 0.000 3.077
0.000 0.000 5.616
```

Output
Space-group type = No. 119
Formation enthalpy at 0 K = -0.2553 eV/atom
Total magnetic moment = 0.000 Bohr magnetons per cell
Electronic total energy = -6.34 eV/atom

=====

5.
This record from the Alexandria database describes LaTm2C after structural relaxation. The functional is PBE.

Geometry as POSCAR:
```
LaTm2C
1.0
1.742 1.006 9.881
-1.742 1.006 9.881
0.000 -2.012 9.881
La Tm C
1 2 1
Cartesian
0.000 0.000 0.000
0.000 0.000 3.609
0.000 0.000 26.034
0.000 0.000 14.821
```

Output
Space-group type = No. 166
Formation enthalpy at 0 K = -0.1585 eV/atom
Total magnetic moment = 0.001 Bohr magnetons per cell
Electronic total energy = -5.93 eV/atom

=====

6.
This record from the Alexandria database describes HoMnB2 after structural relaxation. The functional is PBE.

Geometry as POSCAR:
```
HoMnB2
1.0
1.745 1.008 4.645
-1.745 1.008 4.645
0.000 -2.015 4.645
Ho Mn B
1 1 2
Cartesian
0.000 0.000 0.000
0.000 0.000 6.967
0.000 0.000 2.765
0.000 0.000 11.169
```

Output
Space-group type = No. 166
Formation enthalpy at 0 K = -0.1809 eV/atom
Total magnetic moment = 0.001 Bohr magnetons per cell
Electronic total energy = -6.96 eV/atom

=====

7.
This record from the Alexandria database describes PmTmIrOs after structural relaxation. The functional is PBE.

Geometry as POSCAR:
```
PmTmIrOs
1.0
0.000 3.440 3.440
3.440 0.000 3.440
3.440 3.440 0.000
Pm Tm Ir Os
1 1 1 1
Cartesian
0.000 0.000 0.000
3.440 3.440 3.440
5.160 5.160 5.160
1.720 1.720 1.720
```

Output
Space-group type = No. 216
Formation enthalpy at 0 K = -0.3532 eV/atom
Total magnetic moment = 0.000 Bohr magnetons per cell
Electronic total energy = -7.68 eV/atom

=====

8.
This record from the Alexandria database describes ScCr3H after structural relaxation. The functional is PBE.

Geometry as POSCAR:
```
ScCr3H
1.0
4.350 0.000 0.000
0.000 4.350 0.000
0.000 0.000 4.350
Sc Cr H
1 3 1
Cartesian
0.000 0.000 0.000
0.000 0.000 2.175
0.000 2.175 0.000
2.175 0.000 0.000
2.175 2.175 2.175
```

Output
Space-group type = No. 221
Total magnetic moment = 0.001 Bohr magnetons per cell
Electronic total energy = -5.00 eV/atom

=====

9.
This record from the Alexandria database describes Sm2Cd3Ag after structural relaxation. The functional is PBE.

Geometry as POSCAR:
```
Sm2Cd3Ag
1.0
0.000 5.013 8.674
3.393 0.000 8.674
3.393 5.013 0.000
Sm Cd Ag
4 6 2
Cartesian
5.108 5.013 8.674
1.696 2.506 4.337
5.089 7.519 13.010
1.677 5.013 8.674
3.393 2.489 7.217
3.393 5.013 5.765
3.393 2.489 10.131
3.393 7.537 7.217
3.393 5.013 11.582
3.393 7.537 10.131
3.393 5.013 2.892
3.393 5.013 14.455
```

Output
Space-group type = No. 69
Formation enthalpy at 0 K = -0.3202 eV/atom
Total magnetic moment = 0.000 Bohr magnetons per cell
Electronic total energy = -2.83 eV/atom